Computed, not measured: Ge2IrN after structural relaxation at the PBE level of DFT.

Calculated values
As for the crystal system: tetragonal. Its space-group type is I-42d, No. 122. The uncorrected formation energy comes out at 0.121 eV per atom.

The structure in extended XYZ format:
```
8
Lattice="5.4895 0.0000 0.0000 0.0000 5.4895 0.0000 2.7447 2.7447 3.9996" Properties=species:S:1:pos:R:3 pbc="T T T"
Ge 3.7766 1.3724 0.9999
Ge 1.7129 4.1171 0.9999
Ge 4.1171 4.4576 2.9997
Ge 6.8618 6.5213 2.9997
Ir 0.0000 0.0000 0.0000
Ir 5.4895 2.7447 1.9998
N 2.7447 2.7447 0.0000
N 2.7447 5.4895 1.9998
```